Entry 1:
Compound: NbVMo2Ir
Source: Alexandria
Functional: PBE
Structure: relaxed

## Properties
DOS at the Fermi energy = 0.74 states/eV per atom
Energy = -8.981 eV/atom
DFT formation energy = 0.962 eV per atom
Size of the total moment = 0.000 μB/cell

```
data_NbVMo2Ir
_symmetry_space_group_name_H-M 'P 4/m m m'
_symmetry_Int_Tables_number 123
_symmetry_space_group_name_Hall '-P 4 2'
_cell_length_a 4.4810
_cell_length_b 4.4810
_cell_length_c 4.4765
_cell_angle_alpha 90.00
_cell_angle_beta 90.00
_cell_angle_gamma 90.00
loop_
_atom_site_label
_atom_site_fract_x
_atom_site_fract_y
_atom_site_fract_z
Nb1 0.0000 0.0000 0.0000
V1 0.5000 0.5000 0.5000
Mo1 0.0000 0.5000 0.5000
Ir1 0.5000 0.5000 0.0000
```

---

Entry 2:
Compound: Rb2ZnW
Source: Alexandria
Functional: PBE
Structure: relaxed

## Properties
DOS at the Fermi energy = 0.64 states/eV per atom
Energy = -2.616 eV/atom
DFT formation energy = 1.424 eV per atom
Size of the total moment = 16.004 μB/cell

```
data_Rb2ZnW
_symmetry_space_group_name_H-M 'I -4 2 d'
_symmetry_Int_Tables_number 122
_symmetry_space_group_name_Hall 'I -4 2bw'
_cell_length_a 12.8334
_cell_length_b 12.8334
_cell_length_c 5.1349
_cell_angle_alpha 90.00
_cell_angle_beta 90.00
_cell_angle_gamma 90.00
loop_
_atom_site_label
_atom_site_fract_x
_atom_site_fract_y
_atom_site_fract_z
Rb1 0.0824 0.7500 0.1250
Zn1 0.0000 0.0000 0.0000
W1 0.0000 0.0000 0.5000
```